[1]
Li2YGe2Au2 | GGA-PBE | relaxed

Crystal system   trigonal

```
data_Li2YGe2Au2
_space_group_name_H-M_alt 'P 1'
_space_group_IT_number 1
_cell_length_a 4.374
_cell_length_b 4.374
_cell_length_c 8.129
_cell_angle_alpha 74.39
_cell_angle_beta 74.39
_cell_angle_gamma 60.00
loop_
_space_group_symop_operation_xyz
'x,y,z'
loop_
_atom_site_label
_atom_site_fract_x
_atom_site_fract_y
_atom_site_fract_z
Li1 0.142 0.142 0.575
Li2 0.858 0.858 0.425
Y1 0.000 0.000 0.000
Ge1 0.741 0.741 0.776
Ge2 0.259 0.259 0.224
Au1 0.570 0.570 0.291
Au2 0.430 0.430 0.709
```

=====

[2]
LiZnGeAu | GGA-PBE | relaxed

E above lowest polymorph   0 meV per atom
Crystal system   cubic

```
data_LiZnGeAu
_space_group_name_H-M_alt 'P 1'
_space_group_IT_number 1
_cell_length_a 4.509
_cell_length_b 4.509
_cell_length_c 4.509
_cell_angle_alpha 60.00
_cell_angle_beta 60.00
_cell_angle_gamma 60.00
loop_
_space_group_symop_operation_xyz
'x,y,z'
loop_
_atom_site_label
_atom_site_fract_x
_atom_site_fract_y
_atom_site_fract_z
Ge1 0.250 0.250 0.250
Au1 0.500 0.500 0.500
Zn1 0.750 0.750 0.750
Li1 0.000 0.000 0.000
```

=====

[3]
LiZn2GeAu4 | GGA-PBE | relaxed

Crystal system   trigonal

```
data_LiZn2GeAu4
_space_group_name_H-M_alt 'P 1'
_space_group_IT_number 1
_cell_length_a 4.470
_cell_length_b 4.470
_cell_length_c 8.157
_cell_angle_alpha 74.10
_cell_angle_beta 74.10
_cell_angle_gamma 60.00
loop_
_space_group_symop_operation_xyz
'x,y,z'
loop_
_atom_site_label
_atom_site_fract_x
_atom_site_fract_y
_atom_site_fract_z
Li1 0.500 0.500 0.500
Zn1 0.757 0.757 0.730
Zn2 0.243 0.243 0.270
Ge1 0.000 0.000 0.000
Au1 0.381 0.381 0.858
Au2 0.873 0.873 0.382
Au3 0.127 0.127 0.618
Au4 0.619 0.619 0.142
```

=====

[4]
Li3Zn2Ge2Au4 | GGA-PBE | relaxed

Crystal system   trigonal

```
data_Li3Zn2Ge2Au4
_space_group_name_H-M_alt 'P 1'
_space_group_IT_number 1
_cell_length_a 4.418
_cell_length_b 4.418
_cell_length_c 11.782
_cell_angle_alpha 90.00
_cell_angle_beta 90.00
_cell_angle_gamma 120.00
loop_
_space_group_symop_operation_xyz
'x,y,z'
loop_
_atom_site_label
_atom_site_fract_x
_atom_site_fract_y
_atom_site_fract_z
Li1 0.000 0.000 0.744
Li2 0.000 0.000 0.000
Li3 0.000 0.000 0.256
Zn1 0.667 0.333 0.419
Zn2 0.333 0.667 0.581
Ge1 0.667 0.333 0.866
Ge2 0.333 0.667 0.134
Au1 0.667 0.333 0.125
Au2 0.333 0.667 0.875
Au3 0.667 0.333 0.642
Au4 0.333 0.667 0.358
```

=====

[5]
LiZnGeAu | GGA-PBE | relaxed

E above lowest polymorph   11 meV per atom
Crystal system   orthorhombic

```
data_LiZnGeAu
_space_group_name_H-M_alt 'P 1'
_space_group_IT_number 1
_cell_length_a 4.642
_cell_length_b 3.342
_cell_length_c 5.754
_cell_angle_alpha 89.96
_cell_angle_beta 90.00
_cell_angle_gamma 133.99
loop_
_space_group_symop_operation_xyz
'x,y,z'
loop_
_atom_site_label
_atom_site_fract_x
_atom_site_fract_y
_atom_site_fract_z
Li1 0.739 0.477 0.439
Zn1 0.738 0.476 0.934
Ge1 0.239 0.479 0.189
Au1 0.238 0.476 0.677
```

=====

[6]
LiZrGeAu | GGA-PBE | relaxed

Crystal system   cubic

```
data_LiZrGeAu
_space_group_name_H-M_alt 'P 1'
_space_group_IT_number 1
_cell_length_a 4.675
_cell_length_b 4.675
_cell_length_c 4.675
_cell_angle_alpha 60.00
_cell_angle_beta 60.00
_cell_angle_gamma 60.00
loop_
_space_group_symop_operation_xyz
'x,y,z'
loop_
_atom_site_label
_atom_site_fract_x
_atom_site_fract_y
_atom_site_fract_z
Ge1 0.250 0.250 0.250
Au1 0.750 0.750 0.750
Zr1 0.500 0.500 0.500
Li1 0.000 0.000 0.000
```

=====

[7]
LuGeAu | GGA-PBE | relaxed

Crystal system   tetragonal

```
data_LuGeAu
_space_group_name_H-M_alt 'P 1'
_space_group_IT_number 1
_cell_length_a 3.470
_cell_length_b 3.470
_cell_length_c 5.743
_cell_angle_alpha 107.58
_cell_angle_beta 107.58
_cell_angle_gamma 90.00
loop_
_space_group_symop_operation_xyz
'x,y,z'
loop_
_atom_site_label
_atom_site_fract_x
_atom_site_fract_y
_atom_site_fract_z
Ge1 0.625 0.625 0.250
Lu1 0.943 0.943 0.886
Au1 0.282 0.282 0.564
```

=====

[8]
LuGeAu | GGA-PBE | relaxed

Crystal system   trigonal

```
data_LuGeAu
_space_group_name_H-M_alt 'P 1'
_space_group_IT_number 1
_cell_length_a 3.540
_cell_length_b 4.442
_cell_length_c 4.442
_cell_angle_alpha 120.00
_cell_angle_beta 90.00
_cell_angle_gamma 90.00
loop_
_space_group_symop_operation_xyz
'x,y,z'
loop_
_atom_site_label
_atom_site_fract_x
_atom_site_fract_y
_atom_site_fract_z
Ge1 0.190 0.333 0.667
Lu1 0.662 0.667 0.333
Au1 0.148 0.000 0.000
```

=====

[9]
Lu2GeAu | GGA-PBE | relaxed

Crystal system   trigonal

```
data_Lu2GeAu
_space_group_name_H-M_alt 'P 1'
_space_group_IT_number 1
_cell_length_a 4.336
_cell_length_b 4.336
_cell_length_c 6.445
_cell_angle_alpha 70.35
_cell_angle_beta 70.35
_cell_angle_gamma 60.00
loop_
_space_group_symop_operation_xyz
'x,y,z'
loop_
_atom_site_label
_atom_site_fract_x
_atom_site_fract_y
_atom_site_fract_z
Ge1 0.000 0.000 0.000
Lu1 0.254 0.254 0.239
Lu2 0.746 0.746 0.761
Au1 0.500 0.500 0.500
```

=====

[10]
Lu2GeAu | GGA-PBE | relaxed

Crystal system   tetragonal

```
data_Lu2GeAu
_space_group_name_H-M_alt 'P 1'
_space_group_IT_number 1
_cell_length_a 3.526
_cell_length_b 3.526
_cell_length_c 7.002
_cell_angle_alpha 90.00
_cell_angle_beta 90.00
_cell_angle_gamma 90.00
loop_
_space_group_symop_operation_xyz
'x,y,z'
loop_
_atom_site_label
_atom_site_fract_x
_atom_site_fract_y
_atom_site_fract_z
Ge1 0.500 0.500 0.000
Lu1 0.000 0.000 0.754
Lu2 0.000 0.000 0.246
Au1 0.500 0.500 0.500
```

=====

[11]
LuGeAu | GGA-PBE | relaxed

Crystal system   hexagonal

```
data_LuGeAu
_space_group_name_H-M_alt 'P 1'
_space_group_IT_number 1
_cell_length_a 4.440
_cell_length_b 4.440
_cell_length_c 7.149
_cell_angle_alpha 90.00
_cell_angle_beta 90.00
_cell_angle_gamma 120.00
loop_
_space_group_symop_operation_xyz
'x,y,z'
loop_
_atom_site_label
_atom_site_fract_x
_atom_site_fract_y
_atom_site_fract_z
Lu1 0.000 0.000 0.496
Lu2 0.000 0.000 0.996
Ge1 0.667 0.333 0.790
Ge2 0.333 0.667 0.290
Au1 0.333 0.667 0.696
Au2 0.667 0.333 0.196
```

=====

[12]
NaLuGeAu | GGA-PBE | relaxed

Crystal system   cubic

```
data_NaLuGeAu
_space_group_name_H-M_alt 'P 1'
_space_group_IT_number 1
_cell_length_a 4.914
_cell_length_b 4.914
_cell_length_c 4.914
_cell_angle_alpha 60.00
_cell_angle_beta 60.00
_cell_angle_gamma 60.00
loop_
_space_group_symop_operation_xyz
'x,y,z'
loop_
_atom_site_label
_atom_site_fract_x
_atom_site_fract_y
_atom_site_fract_z
Na1 0.500 0.500 0.500
Ge1 0.250 0.250 0.250
Lu1 0.000 0.000 0.000
Au1 0.750 0.750 0.750
```

=====

| no. | E_form (eV/atom) | DOS at the Fermi energy (states/eV/cell) | total magnetization (μB per atom) |
| --- | --- | --- | --- |
| 1 | -0.60 | 2.29 | 0.000 |
| 2 | -0.21 | 1.02 | 0.000 |
| 3 | -0.22 | 1.88 | 0.000 |
| 4 | -0.33 | 0.67 | 0.000 |
| 5 | -0.20 | 1.61 | 0.000 |
| 6 | -0.49 | 2.39 | 0.000 |
| 7 | -0.48 | 2.26 | 0.000 |
| 8 | -0.72 | 0.92 | 0.000 |
| 9 | -0.70 | 1.56 | 0.000 |
| 10 | -0.76 | 1.08 | 0.000 |
| 11 | -0.78 | 0.54 | 0.000 |
| 12 | -0.47 | 2.37 | 0.000 |